1.
First-principles (PBE with a Hubbard U) data for a relaxed V2Cu2O7 crystal, as listed in the Alexandria database.

Summary:
* raw total energy: -6.605 eV/atom
* SG: Fdd2, No. 43

Geometry as POSCAR:
```
V2Cu2O7
1.0
-3.782 -10.109 3.303
0.870 -8.997 6.013
-4.228 0.737 3.435
Cu O V
4 14 4
direct
0.713 0.960 0.030
0.220 0.952 0.537
0.298 0.030 0.960
0.290 0.537 0.952
0.948 0.229 0.853
0.021 0.302 0.280
0.085 0.631 0.801
0.970 0.853 0.229
0.619 0.165 0.766
0.397 0.280 0.302
0.076 0.925 0.525
0.725 0.775 0.174
0.325 0.174 0.775
0.475 0.525 0.925
0.449 0.766 0.165
0.651 0.349 0.349
0.484 0.801 0.631
0.901 0.599 0.599
0.631 0.468 0.063
0.838 0.063 0.468
0.187 0.412 0.619
0.782 0.619 0.412
```

2.
First-principles (PBE with a Hubbard U) data for a relaxed VCu3O6 crystal, as listed in the Alexandria database.

Summary:
* raw total energy: -5.874 eV/atom
* SG: Cmc2_1, No. 36

Geometry as POSCAR:
```
VCu3O6
1.0
5.411 0.000 0.000
0.000 6.960 -2.305
0.000 -0.694 7.298
Cu O V
6 12 2
direct
0.942 0.073 0.292
0.442 0.292 0.073
0.074 0.508 0.492
0.942 0.708 0.927
0.574 0.492 0.508
0.442 0.927 0.708
0.031 0.446 0.896
0.531 0.896 0.446
0.325 0.665 0.652
0.531 0.554 0.104
0.825 0.335 0.348
0.825 0.652 0.665
0.690 0.915 0.085
0.325 0.348 0.335
0.190 0.085 0.915
0.031 0.104 0.554
0.652 0.158 0.842
0.152 0.842 0.158
0.473 0.802 0.198
0.973 0.198 0.802
```

3.
First-principles (PBE with a Hubbard U) data for a relaxed V2CuO5 crystal, as listed in the Alexandria database.

Summary:
* raw total energy: -7.035 eV/atom
* SG: Cmcm, No. 63

Geometry as POSCAR:
```
V2CuO5
1.0
-1.531 3.484 -0.354
-3.324 -3.351 2.029
3.270 2.379 9.284
O V Cu
10 4 2
direct
0.308 0.617 0.439
0.231 0.462 0.750
0.308 0.617 0.061
0.961 0.923 0.614
0.769 0.538 0.250
0.039 0.077 0.114
0.961 0.923 0.886
0.692 0.383 0.939
0.039 0.077 0.386
0.692 0.383 0.561
0.862 0.724 0.069
0.138 0.276 0.569
0.862 0.724 0.431
0.138 0.276 0.931
0.203 0.406 0.250
0.797 0.594 0.750
```

4.
First-principles (PBE with a Hubbard U) data for a relaxed VCuO3 crystal, as listed in the Alexandria database.

Summary:
* raw total energy: -6.655 eV/atom
* SG: P1, No. 1

Geometry as POSCAR:
```
VCuO3
1.0
-2.279 2.098 -0.778
-3.433 -3.504 0.606
2.361 1.976 4.902
Cu O V
1 3 1
direct
0.392 0.999 0.441
0.265 0.549 0.182
0.578 0.065 0.804
0.839 0.165 0.332
0.734 0.335 0.119
```